Record 1
# SrInCl2 (PBE, relaxed)
data_SrInCl2
_chemical_formula_sum 'Sr4 In4 Cl8'
_space_group_name_H-M_alt 'I -4 2 d'
_space_group_IT_number 122
_space_group_name_Hall 'I -4 2bw'
_cell_length_a 7.518
_cell_length_b 7.518
_cell_length_c 13.163
_cell_angle_alpha 90.00
_cell_angle_beta 90.00
_cell_angle_gamma 90.00
loop_
_atom_site_label
_atom_site_fract_x
_atom_site_fract_y
_atom_site_fract_z
Sr1 0.000 0.000 0.000
In1 0.000 0.000 0.500
Cl1 0.164 0.250 0.125
# Offset from the most stable computed form (eV per atom): 0.264
# Formation energy without anion corrections (meV per atom): -1271

---

Record 2
# Sr2In2Cl7 (PBE, relaxed)
data_Sr2In2Cl7
_chemical_formula_sum 'Sr4 In4 Cl14'
_space_group_name_H-M_alt 'I m m 2'
_space_group_IT_number 44
_cell_length_a 4.240
_cell_length_b 15.536
_cell_length_c 9.344
_cell_angle_alpha 90.00
_cell_angle_beta 90.00
_cell_angle_gamma 90.00
loop_
_space_group_symop_operation_xyz
'x,y,z'
'-x,-y,z'
'-x,y,z'
'x,-y,z'
'x+1/2,y+1/2,z+1/2'
'-x+1/2,-y+1/2,z+1/2'
'-x+1/2,y+1/2,z+1/2'
'x+1/2,-y+1/2,z+1/2'
loop_
_atom_site_label
_atom_site_fract_x
_atom_site_fract_y
_atom_site_fract_z
Sr1 0.000 0.248 0.000
In1 0.000 0.000 0.256
In2 0.000 0.500 0.235
Cl1 0.000 0.000 0.911
Cl2 0.000 0.116 0.515
Cl3 0.000 0.326 0.305
Cl4 0.000 0.341 0.682
# Formation energy without anion corrections (meV per atom): -1685

---

Record 3
# Sr2InCl (PBE, relaxed)
data_Sr2InCl
_chemical_formula_sum 'Sr4 In2 Cl2'
_space_group_name_H-M_alt 'C 1 m 1'
_space_group_IT_number 8
_cell_length_a 17.805
_cell_length_b 4.019
_cell_length_c 4.017
_cell_angle_alpha 90.00
_cell_angle_beta 102.69
_cell_angle_gamma 90.00
loop_
_space_group_symop_operation_xyz
'x,y,z'
'x,-y,z'
'x+1/2,y+1/2,z'
'x+1/2,-y+1/2,z'
loop_
_atom_site_label
_atom_site_fract_x
_atom_site_fract_y
_atom_site_fract_z
Sr1 0.000 0.000 0.000
Sr2 0.236 0.000 0.232
In1 0.118 0.500 0.616
Cl1 0.368 0.500 0.369
# Offset from the most stable computed form (eV per atom): 0.000
# Formation energy without anion corrections (meV per atom): -1112

---

Record 4
# SrInCl2 (PBE, relaxed)
data_SrInCl2
_chemical_formula_sum 'Sr4 In4 Cl8'
_space_group_name_H-M_alt 'F -4 3 m'
_space_group_IT_number 216
_space_group_name_Hall 'F -4 2 3'
_cell_length_a 7.732
_cell_length_b 7.732
_cell_length_c 7.732
_cell_angle_alpha 90.00
_cell_angle_beta 90.00
_cell_angle_gamma 90.00
loop_
_atom_site_label
_atom_site_fract_x
_atom_site_fract_y
_atom_site_fract_z
Sr1 0.000 0.000 0.000
In1 0.250 0.250 0.250
Cl1 0.000 0.000 0.500
Cl2 0.250 0.250 0.750
# Offset from the most stable computed form (eV per atom): 0.626
# Formation energy without anion corrections (meV per atom): -910

---

Record 5
# SrInCl2 (PBE, relaxed)
data_SrInCl2
_chemical_formula_sum 'Sr1 In1 Cl2'
_space_group_name_H-M_alt 'P 4/m m m'
_space_group_IT_number 123
_space_group_name_Hall '-P 4 2'
_cell_length_a 3.597
_cell_length_b 3.597
_cell_length_c 11.219
_cell_angle_alpha 90.00
_cell_angle_beta 90.00
_cell_angle_gamma 90.00
loop_
_atom_site_label
_atom_site_fract_x
_atom_site_fract_y
_atom_site_fract_z
Sr1 0.000 0.000 0.000
In1 0.000 0.000 0.500
Cl1 0.500 0.500 0.145
# Offset from the most stable computed form (eV per atom): 0.076
# Formation energy without anion corrections (meV per atom): -1460

---

Record 6
# Sr2InCl2 (PBE, relaxed)
data_Sr2InCl2
_chemical_formula_sum 'Sr4 In2 Cl4'
_space_group_name_H-M_alt 'I 4/m m m'
_space_group_IT_number 139
_space_group_name_Hall '-I 4 2'
_cell_length_a 4.707
_cell_length_b 4.707
_cell_length_c 15.340
_cell_angle_alpha 90.00
_cell_angle_beta 90.00
_cell_angle_gamma 90.00
loop_
_atom_site_label
_atom_site_fract_x
_atom_site_fract_y
_atom_site_fract_z
Sr1 0.000 0.000 0.134
In1 0.000 0.000 0.500
Cl1 0.000 0.500 0.250
# Formation energy without anion corrections (meV per atom): -1423

---

Record 7
# Sr2In2Cl (PBE, relaxed)
data_Sr2In2Cl
_chemical_formula_sum 'Sr4 In4 Cl2'
_space_group_name_H-M_alt 'P 4/m b m'
_space_group_IT_number 127
_space_group_name_Hall '-P 4 2ab'
_cell_length_a 8.133
_cell_length_b 8.133
_cell_length_c 5.382
_cell_angle_alpha 90.00
_cell_angle_beta 90.00
_cell_angle_gamma 90.00
loop_
_atom_site_label
_atom_site_fract_x
_atom_site_fract_y
_atom_site_fract_z
Sr1 0.176 0.324 0.000
In1 0.125 0.625 0.500
Cl1 0.000 0.000 0.000
# Formation energy without anion corrections (meV per atom): -781

---

Record 8
# SrIn4Cl (PBE, relaxed)
data_SrIn4Cl
_chemical_formula_sum 'Sr4 In16 Cl4'
_space_group_name_H-M_alt 'F -4 3 m'
_space_group_IT_number 216
_space_group_name_Hall 'F -4 2 3'
_cell_length_a 8.905
_cell_length_b 8.905
_cell_length_c 8.905
_cell_angle_alpha 90.00
_cell_angle_beta 90.00
_cell_angle_gamma 90.00
loop_
_atom_site_label
_atom_site_fract_x
_atom_site_fract_y
_atom_site_fract_z
Sr1 0.000 0.000 0.000
In1 0.125 0.125 0.375
Cl1 0.250 0.250 0.750
# Formation energy without anion corrections (meV per atom): -333

---

Record 9
# Sr2InCl (PBE, relaxed)
data_Sr2InCl
_chemical_formula_sum 'Sr8 In4 Cl4'
_space_group_name_H-M_alt 'I -4 2 d'
_space_group_IT_number 122
_space_group_name_Hall 'I -4 2bw'
_cell_length_a 8.314
_cell_length_b 8.314
_cell_length_c 8.871
_cell_angle_alpha 90.00
_cell_angle_beta 90.00
_cell_angle_gamma 90.00
loop_
_atom_site_label
_atom_site_fract_x
_atom_site_fract_y
_atom_site_fract_z
Sr1 0.213 0.250 0.125
In1 0.000 0.000 0.500
Cl1 0.000 0.000 0.000
# Offset from the most stable computed form (eV per atom): 0.220
# Formation energy without anion corrections (meV per atom): -892

---

Record 10
# Sr2InCl5 (PBE, relaxed)
data_Sr2InCl5
_chemical_formula_sum 'Sr4 In2 Cl10'
_space_group_name_H-M_alt 'I m m m'
_space_group_IT_number 71
_space_group_name_Hall '-I 2 2'
_cell_length_a 4.449
_cell_length_b 7.285
_cell_length_c 15.368
_cell_angle_alpha 90.00
_cell_angle_beta 90.00
_cell_angle_gamma 90.00
loop_
_atom_site_label
_atom_site_fract_x
_atom_site_fract_y
_atom_site_fract_z
Sr1 0.000 0.000 0.184
In1 0.000 0.500 0.000
Cl1 0.000 0.000 0.000
Cl2 0.000 0.236 0.344
# Formation energy without anion corrections (meV per atom): -2016

---

Record 11
# SrInCl2 (PBE, relaxed)
data_SrInCl2
_chemical_formula_sum 'Sr2 In2 Cl4'
_space_group_name_H-M_alt 'I 4/m m m'
_space_group_IT_number 139
_space_group_name_Hall '-I 4 2'
_cell_length_a 5.111
_cell_length_b 5.111
_cell_length_c 8.556
_cell_angle_alpha 90.00
_cell_angle_beta 90.00
_cell_angle_gamma 90.00
loop_
_atom_site_label
_atom_site_fract_x
_atom_site_fract_y
_atom_site_fract_z
Sr1 0.000 0.000 0.000
In1 0.000 0.000 0.500
Cl1 0.000 0.500 0.250
# Offset from the most stable computed form (eV per atom): 0.288
# Formation energy without anion corrections (meV per atom): -1248

---

Record 12
# Sr5In3Cl12 (PBE, relaxed)
data_Sr5In3Cl12
_chemical_formula_sum 'Sr40 In24 Cl96'
_space_group_name_H-M_alt 'I a -3 d'
_space_group_IT_number 230
_space_group_name_Hall '-I 4bd 2c 3'
_cell_length_a 18.141
_cell_length_b 18.141
_cell_length_c 18.141
_cell_angle_alpha 90.00
_cell_angle_beta 90.00
_cell_angle_gamma 90.00
loop_
_atom_site_label
_atom_site_fract_x
_atom_site_fract_y
_atom_site_fract_z
Sr1 0.000 0.000 0.000
Sr2 0.000 0.250 0.375
In1 0.000 0.250 0.125
Cl1 0.030 0.061 0.645
# Formation energy without anion corrections (meV per atom): -1822

---

The records above yield volume values of 744, 616, 280, 462, 145, 340, 356, 706, 613, 498, 223, 5971 Å³ per cell, respectively.